DFT (PBE) results for TiGa3Si after structural relaxation.

It has space group Pm-3m (No. 221), with a = 4.938 Å, b = 4.938 Å, c = 4.938 Å, α = 90.00°, β = 90.00° and γ = 90.00°. The inequivalent atoms are Ti at (0.000, 0.000, 0.000), Ga at (0.000, 0.000, 0.500) and Si at (0.500, 0.500, 0.500).

The value obtained for the formation energy (no corrections) is 0.752 eV per atom. As for the total moment: 0.38 μB per cell. For the total energy, the calculation gives -3.73 eV per atom.